Record 1
## Na3Ac2ErS6 (GGA-PBE)

Data for crystalline Na3Ac2ErS6 at its relaxed geometry.

Unit cell a=4.220 b=8.296 c=9.387 alpha=101.14 beta=102.99 gamma=90.00
Positions (direct):
S1 0.999 0.777 0.998
S2 0.667 0.577 0.335
S3 0.653 0.070 0.307
S4 0.347 0.930 0.693
S5 0.333 0.423 0.665
S6 0.001 0.223 0.002
Na1 0.842 0.174 0.684
Na2 0.158 0.826 0.316
Na3 0.500 0.500 0.000
Er1 0.500 0.000 0.000
Ac1 0.165 0.322 0.330
Ac2 0.835 0.678 0.670

Computed properties:
* DFT total energy: -63.17 eV/cell
* space group: No. 12
* mass density: 4.67 g cm⁻³


Record 2
## PrGa2Ag3 (GGA-PBE)

Data for crystalline PrGa2Ag3 at its relaxed geometry.

Unit cell a=4.327 b=8.606 c=7.749 alpha=116.21 beta=90.00 gamma=104.56
Positions (direct):
Ag1 0.957 0.914 0.620
Ag2 0.686 0.372 0.446
Ag3 0.314 0.628 0.554
Ag4 0.399 0.798 0.307
Ag5 0.601 0.202 0.693
Ag6 0.043 0.086 0.380
Ga1 0.203 0.406 0.717
Ga2 0.517 0.035 0.170
Ga3 0.797 0.594 0.283
Ga4 0.483 0.965 0.830
Pr1 0.146 0.291 0.067
Pr2 0.854 0.709 0.933

Computed properties:
* E_form: -0.288 eV/atom
* space group: No. 12
* mass density: 8.07 g cm⁻³


Record 3
## Ba2Y (GGA-PBE)

Data for crystalline Ba2Y at its relaxed geometry.

Unit cell a=6.558 b=6.558 c=4.017 alpha=90.00 beta=90.00 gamma=90.00
Positions (direct):
Ba1 0.500 0.000 0.500
Ba2 0.000 0.500 0.500
Y1 0.000 0.000 0.000

Computed properties:
* E_form: 0.447 eV/atom
* polymorph energy (0 for the lowest one): 274 meV per atom
* space group: No. 123
* mass density: 3.49 g cm⁻³